Entry 1:
Density functional theory data (SCAN) for MgHgMo at its PBEsol-relaxed geometry.

Results
**ΔE to the lowest computed polymorph**: 0.00 eV/f.u.
**E_form**: 287.1 meV/atom
**Total magnetization**: 0.00 μB per atom

abc: 2.822 2.822 6.998
angles: 100.45 100.45 95.78
Positions (direct):
Hg1 0.997 0.997 0.995
Mg1 0.672 0.672 0.343
Mo1 0.331 0.331 0.662

Entry 2:
Density functional theory data (SCAN) for Si2IrRu at its PBEsol-relaxed geometry.

Results
**Formation energy from raw total energies**: -102 kJ/mol of formula units
**Total magnetization**: 0.00 μB per atom

abc: 2.802 3.787 5.143
angles: 90.00 90.03 90.00
Positions (direct):
Ir1 0.500 0.500 0.000
Ru1 0.000 0.500 0.500
Si1 0.503 0.000 0.729
Si2 0.497 0.000 0.271

Entry 3:
Density functional theory data (SCAN) for YCdAg2 at its PBEsol-relaxed geometry.

Results
**E_form**: -238.2 meV/atom
**Total magnetization**: 0.00 μB per atom

abc: 3.493 3.493 6.713
angles: 90.00 90.00 90.00
Positions (direct):
Y1 0.500 0.500 0.766
Ag1 0.000 0.000 0.027
Ag2 0.500 0.500 0.244
Cd1 0.000 0.000 0.463

Entry 4:
Density functional theory data (SCAN) for Li3AlGeO5 at its PBEsol-relaxed geometry.

Results
**Formation energy from raw total energies**: -2406 kJ/mol of formula units
**Total magnetization**: 0.00 μB per atom

abc: 4.869 5.393 15.770
angles: 90.00 90.00 90.00
Positions (direct):
Li1 0.492 0.320 0.401
Li2 0.992 0.680 0.599
Li3 0.992 0.180 0.901
Li4 0.492 0.820 0.099
Li5 0.494 0.839 0.503
Li6 0.994 0.161 0.497
Li7 0.994 0.661 0.003
Li8 0.494 0.339 0.997
Li9 0.491 0.835 0.699
Li10 0.991 0.165 0.301
Li11 0.991 0.665 0.199
Li12 0.491 0.335 0.801
Al1 0.490 0.326 0.202
Al2 0.990 0.674 0.798
Al3 0.990 0.174 0.702
Al4 0.490 0.826 0.298
Ge1 0.995 0.160 0.097
Ge2 0.495 0.840 0.903
Ge3 0.495 0.340 0.597
Ge4 0.995 0.660 0.403
O1 0.586 0.140 0.289
O2 0.127 0.814 0.891
O3 0.127 0.314 0.609
O4 0.627 0.186 0.109
O5 0.097 0.317 0.007
O6 0.597 0.683 0.993
O7 0.597 0.183 0.507
O8 0.097 0.817 0.493
O9 0.093 0.852 0.103
O10 0.593 0.148 0.897
O11 0.593 0.648 0.603
O12 0.093 0.352 0.397
O13 0.124 0.315 0.191
O14 0.624 0.685 0.809
O15 0.624 0.185 0.691
O16 0.124 0.815 0.309
O17 0.086 0.360 0.789
O18 0.586 0.640 0.211
O19 0.627 0.686 0.391
O20 0.086 0.860 0.711

Entry 5:
Density functional theory data (SCAN) for B6Pb3O11F2 at its PBEsol-relaxed geometry.

Results
**Formation energy from raw total energies**: -4895 kJ/mol of formula units
**Total magnetization**: 0.00 μB per atom

abc: 6.605 8.319 9.873
angles: 90.00 102.80 90.00
Positions (direct):
B1 0.996 0.977 0.050
B2 0.004 0.477 0.950
B3 0.078 0.035 0.387
B4 0.922 0.535 0.613
B5 0.918 0.293 0.335
B6 0.082 0.793 0.665
B7 0.710 0.041 0.293
B8 0.290 0.541 0.707
B9 0.318 0.014 0.228
B10 0.682 0.514 0.772
B11 0.903 0.759 0.871
B12 0.097 0.259 0.129
Pb1 0.929 0.148 0.726
Pb2 0.071 0.648 0.274
Pb3 0.545 0.814 0.542
Pb4 0.455 0.314 0.458
Pb5 0.461 0.808 0.966
Pb6 0.539 0.308 0.034
O1 0.069 0.193 0.430
O2 0.931 0.693 0.570
O3 0.893 0.954 0.333
O4 0.107 0.454 0.667
O5 0.659 0.090 0.572
O6 0.341 0.590 0.428
O7 0.186 0.917 0.118
O8 0.814 0.417 0.882
O9 0.003 0.855 0.779
O10 0.997 0.355 0.221
O11 0.851 0.875 0.971
O12 0.149 0.375 0.029
O13 0.259 0.971 0.363
O14 0.741 0.471 0.637
O15 0.946 0.136 0.060
O16 0.054 0.636 0.940
O17 0.532 0.958 0.243
O18 0.468 0.458 0.757
O19 0.281 0.707 0.711
O20 0.719 0.207 0.289
O21 0.294 0.185 0.199
O22 0.706 0.685 0.801
F1 0.132 0.934 0.591
F2 0.868 0.434 0.409
F3 0.411 0.082 0.900
F4 0.589 0.582 0.100

Entry 6:
Density functional theory data (SCAN) for Ba2LaTaSi at its PBEsol-relaxed geometry.

Results
**Formation energy from raw total energies**: 673 kJ/mol of formula units
**Total magnetization**: 0.25 μB per atom

abc: 5.033 6.088 6.088
angles: 90.00 90.00 90.00
Positions (direct):
Si1 0.500 0.500 0.500
La1 0.000 0.000 0.000
Ba1 0.000 0.000 0.500
Ba2 0.000 0.500 0.000
Ta1 0.500 0.000 0.000

Entry 7:
Density functional theory data (SCAN) for LaGa2 at its PBEsol-relaxed geometry.

Results
**E_form**: -848.1 meV/atom
**Total magnetization**: 0.00 μB per atom

abc: 4.269 4.269 4.377
angles: 90.00 90.00 120.00
Positions (direct):
Ga1 0.333 0.667 0.500
Ga2 0.667 0.333 0.500
La1 0.000 0.000 0.000

Entry 8:
Density functional theory data (SCAN) for YBi2F at its PBEsol-relaxed geometry.

Results
**Formation energy from raw total energies**: -184 kJ/mol of formula units
**Total magnetization**: 0.11 μB per atom

abc: 5.592 5.592 8.781
angles: 108.57 108.57 90.00
Positions (direct):
Y1 0.250 0.750 0.500
Y2 0.000 0.000 0.000
Bi1 0.497 0.875 0.250
Bi2 0.753 0.375 0.250
Bi3 0.125 0.247 0.750
Bi4 0.625 0.503 0.750
F1 0.750 0.250 0.500
F2 0.500 0.500 0.000

Entry 9:
Density functional theory data (SCAN) for K3Li at its PBEsol-relaxed geometry.

Results
**E_form**: 80.4 meV/atom
**Total magnetization**: 0.01 μB per atom

abc: 4.540 4.540 11.124
angles: 90.00 90.00 90.00
Positions (direct):
K1 0.000 0.000 0.302
K2 0.500 0.500 0.000
K3 0.000 0.000 0.698
Li1 0.500 0.500 0.500

Entry 10:
Density functional theory data (SCAN) for CsFe3Br at its PBEsol-relaxed geometry.

Results
**Formation energy from raw total energies**: 1202 kJ/mol of formula units
**Total magnetization**: 1.34 μB per atom

abc: 4.814 4.814 4.814
angles: 90.00 90.00 90.00
Positions (direct):
Cs1 0.000 0.000 0.000
Fe1 0.000 0.500 0.000
Fe2 0.000 0.000 0.500
Fe3 0.500 0.000 0.000
Br1 0.500 0.500 0.500

Entry 11:
Density functional theory data (SCAN) for Zr3NiSb at its PBEsol-relaxed geometry.

Results
**Formation energy from raw total energies**: 504 kJ/mol of formula units
**Total magnetization**: 0.24 μB per atom

abc: 5.172 5.172 5.172
angles: 90.00 90.00 90.00
Positions (direct):
Sb1 0.000 0.000 0.000
Zr1 0.000 0.500 0.000
Zr2 0.000 0.000 0.500
Zr3 0.500 0.000 0.000
Ni1 0.500 0.500 0.500

Entry 12:
Density functional theory data (SCAN) for SrAlCu3 at its PBEsol-relaxed geometry.

Results
**ΔE to the lowest computed polymorph**: 0.00 eV/f.u.
**E_form**: 97.6 meV/atom
**Total magnetization**: 0.00 μB per atom

abc: 4.620 4.620 4.620
angles: 90.00 90.00 90.00
Positions (direct):
Sr1 0.500 0.500 0.500
Al1 0.000 0.000 0.000
Cu1 0.000 0.500 0.000
Cu2 0.000 0.000 0.500
Cu3 0.500 0.000 0.000